Computed, not measured: TlTc2W after structural relaxation at the PBE level of DFT.

## Properties
The calculation puts the energy of formation from the pure elements at 0.564 eV/atom. The space group is Cm. As for the crystal system: monoclinic. The offset from the most stable computed form comes out at 199 meV/atom.

Cell: 5.036 5.036 4.765 Å, 77.34 77.34 35.13°
Positions (direct):
Tc 0.738 0.738 0.786
Tc 0.001 0.001 0.001
Tl 0.498 0.498 0.505
W 0.263 0.263 0.208